1.
! InFe2Os2 | Alexandria | PBE | optimized geometry; values from VASP
! Density of states at the Fermi level   14.76 states/eV per cell
! E   -7.997 eV per atom
! DFT formation energy   0.43 eV/atom
! Space-group type   P4/mbm (127)
&SYSTEM
  ibrav = 0, nat = 10, ntyp = 3
/
ATOMIC_SPECIES
In 114.82 In.upf
Fe 55.84 Fe.upf
Os 190.23 Os.upf
CELL_PARAMETERS angstrom
7.212 0.000 0.000
0.000 7.212 0.000
0.000 0.000 2.731
ATOMIC_POSITIONS angstrom
In 0.000 0.000 0.000
In 3.606 3.606 0.000
Fe 0.858 2.748 0.000
Fe 2.748 6.355 0.000
Fe 4.464 0.858 0.000
Fe 6.355 4.464 0.000
Os 1.229 4.836 1.366
Os 2.377 1.229 1.366
Os 4.836 5.983 1.366
Os 5.983 2.377 1.366

2.
! NaIn2Ni | Alexandria | PBE | optimized geometry; values from VASP
! Density of states at the Fermi level   2.48 states/eV per cell
! E   -3.019 eV per atom
! DFT formation energy   0.13 eV/atom
! Space-group type   R-3m (166)
&SYSTEM
  ibrav = 0, nat = 4, ntyp = 3
/
ATOMIC_SPECIES
Na 22.99 Na.upf
In 114.82 In.upf
Ni 58.69 Ni.upf
CELL_PARAMETERS angstrom
1.655 0.955 9.982
-1.655 0.955 9.982
0.000 -1.911 9.982
ATOMIC_POSITIONS angstrom
Na 0.000 0.000 0.000
In 0.000 0.000 3.130
In 0.000 0.000 26.817
Ni 0.000 0.000 14.973

3.
! NbICl3 | Alexandria | PBE | optimized geometry; values from VASP
! Density of states at the Fermi level   5.51 states/eV per cell
! E   -4.249 eV per atom
! Formation energy (no corrections)   -0.82 eV per atom
! Space-group type   P1 (1)
&SYSTEM
  ibrav = 0, nat = 10, ntyp = 3
/
ATOMIC_SPECIES
Nb 92.91 Nb.upf
I 126.90 I.upf
Cl 35.45 Cl.upf
CELL_PARAMETERS angstrom
6.526 0.000 0.000
3.255 6.143 0.000
0.021 0.022 7.085
ATOMIC_POSITIONS angstrom
Nb 0.000 0.000 0.000
Nb 3.263 2.371 0.000
I 5.638 4.278 7.082
I 6.011 4.267 3.539
Cl 2.644 4.257 1.565
Cl 2.656 4.279 5.523
Cl 1.542 1.287 1.518
Cl 1.567 1.305 5.566
Cl 4.804 1.080 1.517
Cl 4.828 1.106 5.566

4.
! BaGa7Ag5 | Alexandria | PBE | optimized geometry; values from VASP
! Density of states at the Fermi level   4.79 states/eV per cell
! E   -3.006 eV per atom
! DFT formation energy   -0.13 eV/atom
! Space-group type   Imm2 (44)
&SYSTEM
  ibrav = 0, nat = 13, ntyp = 3
/
ATOMIC_SPECIES
Ba 137.33 Ba.upf
Ga 69.72 Ga.upf
Ag 107.87 Ag.upf
CELL_PARAMETERS angstrom
-2.796 4.847 4.764
2.796 -4.847 4.764
2.796 4.847 -4.764
ATOMIC_POSITIONS angstrom
Ba 0.000 0.000 0.000
Ga 2.796 2.170 0.092
Ga 2.796 -1.368 4.700
Ga 0.000 0.000 3.399
Ga 2.796 1.368 4.700
Ga 0.000 0.000 6.075
Ga 0.000 4.847 2.465
Ga 0.000 2.677 4.856
Ag 1.406 2.376 -2.317
Ag 4.186 2.376 -2.317
Ag 2.796 0.000 2.044
Ag -1.390 2.471 2.447
Ag 1.390 2.471 2.447

5.
! KZrCr2Au | Alexandria | PBE | optimized geometry; values from VASP
! Density of states at the Fermi level   6.97 states/eV per cell
! E   -5.452 eV per atom
! DFT formation energy   0.98 eV/atom
! Space-group type   P4/mmm (123)
&SYSTEM
  ibrav = 0, nat = 5, ntyp = 4
/
ATOMIC_SPECIES
K 39.10 K.upf
Zr 91.22 Zr.upf
Cr 52.00 Cr.upf
Au 196.97 Au.upf
CELL_PARAMETERS angstrom
5.275 0.000 0.000
0.000 5.275 0.000
0.000 0.000 5.232
ATOMIC_POSITIONS angstrom
K 0.000 0.000 0.000
Zr 2.638 2.638 0.000
Cr 0.000 2.638 2.616
Cr 2.638 0.000 2.616
Au 2.638 2.638 2.616

6.
! LaZn2Cu | Alexandria | PBE | optimized geometry; values from VASP
! Density of states at the Fermi level   3.16 states/eV per cell
! E   -2.924 eV per atom
! DFT formation energy   -0.03 eV/atom
! Space-group type   P4/mmm (123)
&SYSTEM
  ibrav = 0, nat = 4, ntyp = 3
/
ATOMIC_SPECIES
La 138.91 La.upf
Zn 65.41 Zn.upf
Cu 63.55 Cu.upf
CELL_PARAMETERS angstrom
4.199 0.000 0.000
0.000 4.199 0.000
0.000 0.000 4.829
ATOMIC_POSITIONS angstrom
La 0.000 0.000 0.000
Zn 0.000 2.100 2.414
Zn 2.100 0.000 2.414
Cu 2.100 2.100 0.000